Density functional theory data (PBE) for LaPmTh2Rh4 after structural relaxation.

a b c (Å): 7.881 11.471 8.533
angles (deg): 90.00 90.00 90.00
Space group Fmm2 (No. 42)
Symmetry-distinct sites (fractional):
La: 0.000 0.000 0.000 (multiplicity 4)
Pm: 0.000 0.000 0.558 (multiplicity 4)
Th: 0.250 0.250 0.254 (multiplicity 8)
Rh: 0.000 0.244 0.501 (multiplicity 8)
Rh: 0.207 0.000 0.276 (multiplicity 8)

Summary:
Formation energy in eV/atom: -0.7527
Density in g/cm3: 9.98